1.
## AlInTe3 (PBE)

Data for crystalline AlInTe3 at its relaxed geometry.

Values from the calculation:
For the total energy, the calculation gives -3.533 eV per atom. The calculated volume comes out at 35.7 Å³ per atom. The value obtained for the uncorrected formation energy is -0.351 eV per atom.

Cell lengths 7.545, 8.339, 13.526 Å; angles 90.00, 122.95, 90.00 degrees
Space group P2_1/c (No. 14)
Unique sites:
Al 0.211 0.034 0.140 x4
In 0.436 0.740 0.510 x4
Te 0.059 0.744 0.521 x4
Te 0.230 0.044 0.340 x4
Te 0.408 0.553 0.325 x4

2.
## Ac6AgPd2 (PBE)

Data for crystalline Ac6AgPd2 at its relaxed geometry.

Values from the calculation:
For the total energy, the calculation gives -4.604 eV per atom. The calculated volume comes out at 34.7 Å³ per atom. The density of states at the Fermi level comes out at 1.029 states/eV/atom. The value obtained for the calculated formation energy is -395 meV per atom.

Cell lengths 10.275, 10.801, 11.262 Å; angles 90.00, 90.00, 90.00 degrees
Space group Immm (No. 71)
Unique sites:
Ac 0.000 0.187 0.235 x8
Ac 0.191 0.500 0.170 x8
Ac 0.214 0.325 0.500 x8
Ag 0.000 0.000 0.000 x2
Ag 0.000 0.000 0.500 x2
Pd 0.000 0.343 0.000 x4
Pd 0.000 0.500 0.372 x4